Below is a geometry-optimized ScCdAs2 structure, with properties calculated at the PBE-GGA level.

Results
- Fermi-level density of states: 7.70 states/eV per cell
- ΔH_f (0 K): -345 meV per atom
- E: -4.4814 eV/atom

a = 7.3372 Å, b = 7.3372 Å, c = 6.5385 Å
α = 90.00°, β = 90.00°, γ = 90.00°
Space group I-42d (No. 122)
Asymmetric unit:
Sc: 0.0000 0.0000 0.0000 x4
Cd: 0.0000 0.0000 0.5000 x4
As: 0.2480 0.2500 0.6250 x8